Density functional theory data (meta-GGA SCAN) for CaCo2GeP at its PBEsol-relaxed geometry.

Summary:
energy of formation = 0.15 eV/atom
calculated density = 4.9 g/cm3
final energy = -14.60 eV/atom

Cell lengths 4.1559, 4.1559, 5.1531 Å; angles 90.00, 90.00, 90.00 degrees
Atoms (fractional coordinates):
Ca (0.0000, 0.0000, 0.5000)
Ge (0.5000, 0.5000, 0.5000)
P (0.0000, 0.0000, 0.0000)
Co (0.0000, 0.5000, 0.0000)
Co (0.5000, 0.0000, 0.0000)